Model i:
A geometry-optimized AlPb2Se structure, computed with PBE.

```
AlPb2Se
1.0
-1.818 2.875 5.084
1.818 -2.875 5.084
1.818 2.875 -5.084
Al Pb Se
1 2 1
Direct
0.000 0.000 0.000
0.238 0.738 0.500
0.530 0.530 0.000
0.834 0.334 0.500
```

Computed properties:
Calculated volume: 106.27 Å³/cell
Symmetry: Imm2 (44)
Total magnetization: 0.00 Bohr magnetons per cell

Model ii:
A geometry-optimized AlPb2Se structure, computed with PBE.

```
AlPb2Se
1.0
-3.229 3.229 6.938
3.229 -3.229 6.938
3.229 3.229 -6.938
Al Pb Se
2 4 2
Direct
0.000 0.000 0.000
0.750 0.250 0.500
0.111 0.625 0.986
0.375 0.361 0.486
0.639 0.125 0.014
0.875 0.889 0.514
0.250 0.750 0.500
0.500 0.500 0.000
```

Computed properties:
Calculated volume: 289.28 Å³/cell
Symmetry: I-42d (122)
Total magnetization: 0.00 Bohr magnetons per cell

Preferred: model i; penalty for the next structure: 225 meV/atom.

Model i:
A geometry-optimized Al2PbSe4 structure, computed with PBE.

```
Al2PbSe4
1.0
6.303 0.000 0.000
0.000 11.010 0.000
-3.147 0.000 5.512
Al Pb Se
4 2 8
Direct
0.000 0.000 0.000
0.012 0.500 0.985
0.537 0.500 0.467
0.552 0.000 0.279
0.263 0.251 0.741
0.263 0.749 0.741
0.124 0.500 0.407
0.276 0.167 0.218
0.276 0.833 0.218
0.427 0.500 0.043
0.589 0.000 0.915
0.774 0.332 0.727
0.774 0.668 0.727
0.965 0.000 0.599
```

Computed properties:
Calculated volume: 382.51 Å³/cell
Symmetry: Pm (6)
Total magnetization: 0.00 Bohr magnetons per cell

Model ii:
A geometry-optimized Al2PbSe4 structure, computed with PBE.

```
Al2PbSe4
1.0
-3.986 3.986 3.106
3.986 -3.986 3.106
3.986 3.986 -3.106
Al Pb Se
2 1 4
Direct
0.250 0.750 0.500
0.750 0.250 0.500
0.000 0.000 0.000
0.176 0.653 0.829
0.347 0.176 0.524
0.653 0.824 0.476
0.824 0.347 0.171
```

Computed properties:
Calculated volume: 197.39 Å³/cell
Symmetry: I4/m (87)
Total magnetization: 0.00 Bohr magnetons per cell

Preferred: model i; penalty for the next structure: 61 meV/atom.

Model i:
A geometry-optimized AlPbSe structure, computed with PBE.

```
AlPbSe
1.0
3.663 0.000 0.000
-1.831 3.172 0.000
0.000 0.000 6.588
Al Pb Se
1 1 1
Direct
0.000 0.000 0.000
0.333 0.667 0.365
0.667 0.333 0.799
```

Computed properties:
Calculated volume: 76.53 Å³/cell
Symmetry: P3m1 (156)
Total magnetization: 0.00 Bohr magnetons per cell

Model ii:
A geometry-optimized AlPbSe structure, computed with PBE.

```
AlPbSe
1.0
0.000 3.558 3.558
3.558 0.000 3.558
3.558 3.558 0.000
Al Pb Se
1 1 1
Direct
0.000 0.000 0.000
0.250 0.250 0.250
0.500 0.500 0.500
```

Computed properties:
Calculated volume: 90.10 Å³/cell
Symmetry: F-43m (216)
Total magnetization: 0.00 Bohr magnetons per cell

Model iii:
A geometry-optimized AlPbSe structure, computed with PBE.

```
AlPbSe
1.0
3.671 0.000 0.000
-0.230 6.256 0.000
-1.692 -1.485 7.330
Al Pb Se
2 2 2
Direct
0.154 0.445 0.314
0.846 0.555 0.686
0.188 0.267 0.930
0.812 0.733 0.070
0.309 0.764 0.581
0.691 0.236 0.419
```

Computed properties:
Calculated volume: 168.32 Å³/cell
Symmetry: P-1 (2)
Total magnetization: 0.00 Bohr magnetons per cell

Preferred: model iii; penalty for the next structure: 45 meV/atom.

Model i:
A geometry-optimized AlPbSe structure, computed with PBE.

```
AlPbSe
1.0
0.000 3.100 6.528
1.935 0.000 6.528
1.935 3.100 0.000
Al Pb Se
1 1 1
Direct
0.000 0.000 0.000
0.318 0.318 0.682
0.614 0.614 0.386
```

Computed properties:
Calculated volume: 78.32 Å³/cell
Symmetry: Fmm2 (42)
Total magnetization: 0.00 Bohr magnetons per cell

Model ii:
A geometry-optimized AlPbSe structure, computed with PBE.

```
AlPbSe
1.0
-1.781 1.781 5.782
1.781 -1.781 5.782
1.781 1.781 -5.782
Al Pb Se
1 1 1
Direct
0.000 0.000 0.000
0.320 0.320 0.000
0.585 0.585 0.000
```

Computed properties:
Calculated volume: 73.37 Å³/cell
Symmetry: I4mm (107)
Total magnetization: 0.00 Bohr magnetons per cell

Model iii:
A geometry-optimized AlPbSe structure, computed with PBE.

```
AlPbSe
1.0
0.000 3.427 3.427
3.427 0.000 3.427
3.427 3.427 0.000
Al Pb Se
1 1 1
Direct
0.000 0.000 0.000
0.250 0.250 0.250
0.750 0.750 0.750
```

Computed properties:
Calculated volume: 80.46 Å³/cell
Symmetry: F-43m (216)
Total magnetization: 0.00 Bohr magnetons per cell

Preferred: model ii; penalty for the next structure: 81 meV/atom.